(1)
Density functional theory data (GGA-PBE) for a relaxed structure of LaCoTcGe3.

Cell and atoms, written as CIF:
```
data_LaCoTcGe3
_chemical_formula_sum 'La4 Co4 Tc4 Ge12'
_space_group_name_H-M_alt 'C m c m'
_space_group_IT_number 63
_space_group_name_Hall '-C 2c 2'
_cell_length_a 7.386
_cell_length_b 11.154
_cell_length_c 5.891
_cell_angle_alpha 90.00
_cell_angle_beta 90.00
_cell_angle_gamma 90.00
loop_
_atom_site_label
_atom_site_type_symbol
_atom_site_fract_x
_atom_site_fract_y
_atom_site_fract_z
_atom_site_occupancy
La1 La 0.000 0.244 0.250 1
Co1 Co 0.000 0.043 0.750 1
Tc1 Tc 0.000 0.448 0.750 1
Ge1 Ge 0.000 0.240 0.750 1
Ge2 Ge 0.239 0.000 0.000 1
```

Results
energy relative to the elements: -309 meV per atom

***

(2)
Density functional theory data (GGA-PBE) for a relaxed structure of NaAcOF2.

Cell and atoms, written as CIF:
```
data_NaAcOF2
_chemical_formula_sum 'Na4 Ac4 O4 F8'
_space_group_name_H-M_alt 'C m c m'
_space_group_IT_number 63
_space_group_name_Hall '-C 2c 2'
_cell_length_a 3.725
_cell_length_b 11.148
_cell_length_c 8.055
_cell_angle_alpha 90.00
_cell_angle_beta 90.00
_cell_angle_gamma 90.00
loop_
_atom_site_label
_atom_site_type_symbol
_atom_site_fract_x
_atom_site_fract_y
_atom_site_fract_z
_atom_site_occupancy
Na1 Na 0.000 0.000 0.000 1
Ac1 Ac 0.000 0.276 0.250 1
O1 O 0.000 0.098 0.750 1
F1 F 0.000 0.346 0.562 1
```

Results
E_form (uncorrected): -3226 meV per atom

***

(3)
Density functional theory data (GGA-PBE) for a relaxed structure of TiMoW2.

Cell and atoms, written as CIF:
```
data_TiMoW2
_chemical_formula_sum 'Ti4 Mo4 W8'
_space_group_name_H-M_alt 'I -4 2 d'
_space_group_IT_number 122
_space_group_name_Hall 'I -4 2bw'
_cell_length_a 7.179
_cell_length_b 7.179
_cell_length_c 5.400
_cell_angle_alpha 90.00
_cell_angle_beta 90.00
_cell_angle_gamma 90.00
loop_
_atom_site_label
_atom_site_type_symbol
_atom_site_fract_x
_atom_site_fract_y
_atom_site_fract_z
_atom_site_occupancy
Ti1 Ti 0.000 0.000 0.000 1
Mo1 Mo 0.000 0.000 0.500 1
W1 W 0.237 0.250 0.625 1
```

Results
energy relative to the elements: 775 meV per atom